# ZrTiOsRh (PBE, optimized geometry)
# * formation energy: -0.62 eV/atom
data_ZrTiOsRh
_chemical_formula_sum 'Zr4 Ti4 Os4 Rh4'
_cell_length_a 6.410
_cell_length_b 6.410
_cell_length_c 6.410
_cell_angle_alpha 90.00
_cell_angle_beta 90.00
_cell_angle_gamma 90.00
_symmetry_space_group_name_H-M 'F -4 3 m'
_symmetry_Int_Tables_number 216
_symmetry_space_group_name_Hall 'F -4 2 3'
loop_
_atom_site_label
_atom_site_fract_x
_atom_site_fract_y
_atom_site_fract_z
Zr1 0.000 0.000 0.000
Ti1 0.000 0.000 0.500
Os1 0.250 0.250 0.250
Rh1 0.250 0.250 0.750


# Tm2ZnCo3 (PBE, optimized geometry)
# * formation energy: -0.25 eV/atom
data_Tm2ZnCo3
_chemical_formula_sum 'Tm6 Zn3 Co9'
_cell_length_a 5.1235
_cell_length_b 5.1235
_cell_length_c 12.3533
_cell_angle_alpha 90.00
_cell_angle_beta 90.00
_cell_angle_gamma 120.00
_symmetry_space_group_name_H-M 'R -3 m'
_symmetry_Int_Tables_number 166
_symmetry_space_group_name_Hall '-R 3 2"'
loop_
_atom_site_label
_atom_site_fract_x
_atom_site_fract_y
_atom_site_fract_z
Tm1 0.0000 0.0000 0.1226
Zn1 0.0000 0.0000 0.5000
Co1 0.0000 0.5000 0.0000


# Pr12Nd6Cd (PBE, optimized geometry)
# * formation energy: 0.08 eV/atom
data_Pr12Nd6Cd
_chemical_formula_sum 'Pr36 Nd18 Cd3'
_cell_length_a 12.2914
_cell_length_b 12.2914
_cell_length_c 15.4878
_cell_angle_alpha 90.00
_cell_angle_beta 90.00
_cell_angle_gamma 120.00
_symmetry_space_group_name_H-M 'R -3'
_symmetry_Int_Tables_number 148
_symmetry_space_group_name_Hall '-R 3'
loop_
_atom_site_label
_atom_site_fract_x
_atom_site_fract_y
_atom_site_fract_z
Pr1 0.0114 0.1774 0.3132
Pr2 0.0508 0.8492 0.9161
Nd1 0.0218 0.4296 0.1902
Cd1 0.0000 0.0000 0.5000


# MgTlRh2N (PBE, optimized geometry)
# * formation energy from raw total energies: 0 kJ per mole of atoms
data_MgTlRh2N
_chemical_formula_sum 'Mg1 Tl1 Rh2 N1'
_cell_length_a 4.251
_cell_length_b 4.251
_cell_length_c 4.114
_cell_angle_alpha 90.00
_cell_angle_beta 90.00
_cell_angle_gamma 90.00
_symmetry_space_group_name_H-M 'P 4/m m m'
_symmetry_Int_Tables_number 123
_symmetry_space_group_name_Hall '-P 4 2'
loop_
_atom_site_label
_atom_site_fract_x
_atom_site_fract_y
_atom_site_fract_z
Mg1 0.000 0.000 0.000
Tl1 0.500 0.500 0.000
Rh1 0.000 0.500 0.500
N1 0.000 0.000 0.500


# Ti5Sn6 (PBE, optimized geometry)
# * formation energy: -0.16 eV/atom
data_Ti5Sn6
_chemical_formula_sum 'Ti10 Sn12'
_cell_length_a 4.340
_cell_length_b 13.002
_cell_length_c 8.168
_cell_angle_alpha 90.00
_cell_angle_beta 90.00
_cell_angle_gamma 90.00
_symmetry_space_group_name_H-M 'C m m m'
_symmetry_Int_Tables_number 65
_symmetry_space_group_name_Hall '-C 2 2'
loop_
_atom_site_label
_atom_site_fract_x
_atom_site_fract_y
_atom_site_fract_z
Ti1 0.000 0.000 0.000
Ti2 0.000 0.328 0.500
Ti3 0.000 0.337 0.000
Sn1 0.000 0.165 0.250
Sn2 0.000 0.500 0.263


# TbZn12Ir4 (PBE, optimized geometry)
# * formation energy: 0.16 eV/atom
data_TbZn12Ir4
_chemical_formula_sum 'Tb2 Zn24 Ir8'
_cell_length_a 8.679
_cell_length_b 8.679
_cell_length_c 8.679
_cell_angle_alpha 90.00
_cell_angle_beta 90.00
_cell_angle_gamma 90.00
_symmetry_space_group_name_H-M 'I m -3'
_symmetry_Int_Tables_number 204
_symmetry_space_group_name_Hall '-I 2 2 3'
loop_
_atom_site_label
_atom_site_fract_x
_atom_site_fract_y
_atom_site_fract_z
Tb1 0.000 0.000 0.000
Zn1 0.000 0.159 0.350
Ir1 0.250 0.250 0.250


# Tb4Dy3ScS8 (PBE, optimized geometry)
# * formation energy from raw total energies: -190 kJ per mole of atoms
data_Tb4Dy3ScS8
_chemical_formula_sum 'Tb12 Dy9 Sc3 S24'
_cell_length_a 7.7833
_cell_length_b 7.7833
_cell_length_c 19.0969
_cell_angle_alpha 90.00
_cell_angle_beta 90.00
_cell_angle_gamma 120.00
_symmetry_space_group_name_H-M 'R -3 m'
_symmetry_Int_Tables_number 166
_symmetry_space_group_name_Hall '-R 3 2"'
loop_
_atom_site_label
_atom_site_fract_x
_atom_site_fract_y
_atom_site_fract_z
Tb1 0.0000 0.0000 0.0000
Tb2 0.0000 0.5000 0.0000
Dy1 0.0000 0.5000 0.5000
Sc1 0.0000 0.0000 0.5000
S1 0.0000 0.0000 0.2493
S2 0.0072 0.5036 0.2475


# Re3PtN (PBE, optimized geometry)
# * formation energy from raw total energies: 352 kJ per mole of atoms
data_Re3PtN
_chemical_formula_sum 'Re3 Pt1 N1'
_cell_length_a 4.791
_cell_length_b 4.791
_cell_length_c 4.791
_cell_angle_alpha 90.00
_cell_angle_beta 90.00
_cell_angle_gamma 90.00
_symmetry_space_group_name_H-M 'P m -3 m'
_symmetry_Int_Tables_number 221
_symmetry_space_group_name_Hall '-P 4 2 3'
loop_
_atom_site_label
_atom_site_fract_x
_atom_site_fract_y
_atom_site_fract_z
Re1 0.000 0.000 0.500
Pt1 0.000 0.000 0.000
N1 0.500 0.500 0.500


Uncorrected energy: -150.07 -99.06 -255.97 -26.97 -130.44 -105.17 -309.75 -33.49 (eV/cell)